Compound: Mn3Al2
Source: the Alexandria database
Functional: GGA-PBE
Structure: optimized geometry

Output
As for the energy of formation: -0.0350 eV/atom. As for the crystal system: trigonal.

abc: 2.6328 2.6328 30.8529
angles: 90.00 90.00 120.00
With the nearest neighbours (Å) after each atom.
Space group R-3m (No. 166, hexagonal axes)
Symmetry-distinct sites (fractional):
1 Mn 0.0000 0.0000 0.0000 [3 per cell]  6 Al 2.61, 6 Mn 2.63
2 Mn 0.0000 0.0000 0.1963 [6 per cell]  9 Mn 2.38-2.63, 3 Al 2.60
3 Al 0.0000 0.0000 0.4020 [6 per cell]  6 Mn 2.60-2.61, 6 Al 2.63